DFT (meta-GGA SCAN) results for a PBEsol-optimized structure of LaHfZr2Nb.

The formation energy comes out at 2.898 eV/f.u. The value obtained for the magnetization is 0.7 μB per formula unit. The volume is 27.0 Å³/atom. The density of states at the Fermi level is 9.5 states/eV/f.u. For the electronic total energy, the calculation gives -1.45092 Ha/atom.

The space group is P4/mmm (No. 123) and the conventional cell measures 5.1046, 5.1046 and 5.1726 Å, with angles of 90.00, 90.00 and 90.00 degrees. The distinct sites, in fractional coordinates, are La at (0.0000, 0.0000, 0.0000), Hf at (0.5000, 0.5000, 0.0000), Zr at (0.0000, 0.5000, 0.5000) and Nb at (0.5000, 0.5000, 0.5000).

DFT (meta-GGA SCAN) results for a PBEsol-optimized structure of La2HfO5.

The value obtained for the magnetization is 0.0 μB per formula unit. As for the energy above the most stable polymorph in this dataset: 0.0 meV/atom. The volume is 16.0 Å³/atom. The density of states at the Fermi level is 0.0 states/eV/f.u. For the electronic total energy, the calculation gives -0.96805 Ha/atom. For the uncorrected formation energy, the calculation gives -3837 meV per atom.

The space group is Pnma (No. 62) and the conventional cell measures 11.0955, 3.9079 and 11.7822 Å, with angles of 90.00, 90.00 and 90.00 degrees. The distinct sites, in fractional coordinates, are La at (0.1100, 0.2500, 0.2220), La at (0.1315, 0.2500, 0.5635), Hf at (0.1792, 0.2500, 0.8826), O at (0.0034, 0.7500, 0.6017), O at (0.0113, 0.2500, 0.8393), O at (0.2305, 0.2500, 0.0472), O at (0.2364, 0.7500, 0.2325) and O at (0.2373, 0.7500, 0.8862).

Among the records above, which one has the lowest electronic total energy?
LaHfZr2Nb

Repeat the second record exactly.
DFT (meta-GGA SCAN) results for a PBEsol-optimized structure of La2HfO5.

The value obtained for the magnetization is 0.0 μB per formula unit. As for the energy above the most stable polymorph in this dataset: 0.0 meV/atom. The volume is 16.0 Å³/atom. The density of states at the Fermi level is 0.0 states/eV/f.u. For the electronic total energy, the calculation gives -0.96805 Ha/atom. For the uncorrected formation energy, the calculation gives -3837 meV per atom.

The space group is Pnma (No. 62) and the conventional cell measures 11.0955, 3.9079 and 11.7822 Å, with angles of 90.00, 90.00 and 90.00 degrees. The distinct sites, in fractional coordinates, are La at (0.1100, 0.2500, 0.2220), La at (0.1315, 0.2500, 0.5635), Hf at (0.1792, 0.2500, 0.8826), O at (0.0034, 0.7500, 0.6017), O at (0.0113, 0.2500, 0.8393), O at (0.2305, 0.2500, 0.0472), O at (0.2364, 0.7500, 0.2325) and O at (0.2373, 0.7500, 0.8862).

Look up the electronic total energy of the second one.
-0.96805 Ha/atom